Material: ZrBe9Pd2
Method: DFT, PBE
State: relaxed Values from VASP.

Calculated values
space-group type	P6_3/mmc, No. 194
magnetic moment	0.0	Bohr magnetons per cell
DFT formation energy	-0.330	eV/atom

Geometry as Quantum ESPRESSO input:
```
&SYSTEM
  ibrav = 0, nat = 24, ntyp = 3
/
ATOMIC_SPECIES
Zr 91.22 Zr.upf
Be 9.01 Be.upf
Pd 106.42 Pd.upf
CELL_PARAMETERS angstrom
4.472 0.000 0.000
-2.236 3.873 0.000
0.000 0.000 14.105
ATOMIC_POSITIONS crystal
Zr 0.333 0.667 0.250
Zr 0.667 0.333 0.750
Be 0.000 0.000 0.000
Be 0.000 0.000 0.250
Be 0.000 0.000 0.500
Be 0.000 0.000 0.750
Be 0.168 0.336 0.622
Be 0.168 0.336 0.878
Be 0.168 0.832 0.622
Be 0.168 0.832 0.878
Be 0.333 0.667 0.750
Be 0.336 0.168 0.122
Be 0.336 0.168 0.378
Be 0.664 0.832 0.622
Be 0.664 0.832 0.878
Be 0.667 0.333 0.250
Be 0.832 0.168 0.122
Be 0.832 0.168 0.378
Be 0.832 0.664 0.122
Be 0.832 0.664 0.378
Pd 0.333 0.667 0.042
Pd 0.333 0.667 0.458
Pd 0.667 0.333 0.542
Pd 0.667 0.333 0.958
```

Material: PmBe3
Method: DFT, PBE
State: relaxed Values from VASP.

Calculated values
space-group type	Pmmn, No. 59
magnetic moment	0.0	Bohr magnetons per cell
DFT formation energy	-0.021	eV/atom

Geometry as Quantum ESPRESSO input:
```
&SYSTEM
  ibrav = 0, nat = 8, ntyp = 2
/
ATOMIC_SPECIES
Pm 145.00 Pm.upf
Be 9.01 Be.upf
CELL_PARAMETERS angstrom
3.661 0.000 0.000
0.000 5.978 0.000
0.000 0.000 5.459
ATOMIC_POSITIONS crystal
Pm 0.250 0.250 0.109
Pm 0.750 0.750 0.891
Be 0.250 0.061 0.591
Be 0.250 0.439 0.591
Be 0.250 0.750 0.382
Be 0.750 0.250 0.618
Be 0.750 0.561 0.409
Be 0.750 0.939 0.409
```

Material: Pm5Be
Method: DFT, PBE
State: relaxed Values from VASP.

Calculated values
space-group type	Cmmm, No. 65
magnetic moment	0.0	Bohr magnetons per cell
DFT formation energy	0.220	eV/atom

Geometry as Quantum ESPRESSO input:
```
&SYSTEM
  ibrav = 0, nat = 6, ntyp = 2
/
ATOMIC_SPECIES
Pm 145.00 Pm.upf
Be 9.01 Be.upf
CELL_PARAMETERS angstrom
2.398 -7.594 0.000
2.398 7.594 0.000
0.000 0.000 4.902
ATOMIC_POSITIONS crystal
Pm 0.000 0.000 0.000
Pm 0.156 0.844 0.500
Pm 0.338 0.662 0.000
Pm 0.662 0.338 0.000
Pm 0.844 0.156 0.500
Be 0.500 0.500 0.500
```

Material: Pm2PrBe
Method: DFT, PBE
State: relaxed Values from VASP.

Calculated values
space-group type	R-3m, No. 166
magnetic moment	0.0	Bohr magnetons per cell
DFT formation energy	0.712	eV/atom

Geometry as Quantum ESPRESSO input:
```
&SYSTEM
  ibrav = 0, nat = 4, ntyp = 3
/
ATOMIC_SPECIES
Pm 145.00 Pm.upf
Pr 140.91 Pr.upf
Be 9.01 Be.upf
CELL_PARAMETERS angstrom
1.769 1.021 11.739
-1.769 1.021 11.739
0.000 -2.043 11.739
ATOMIC_POSITIONS crystal
Pm 0.083 0.083 0.083
Pm 0.917 0.917 0.917
Pr 0.500 0.500 0.500
Be 0.000 0.000 0.000
```

Material: PmPr2Be
Method: DFT, PBE
State: relaxed Values from VASP.

Calculated values
space-group type	R-3m, No. 166
magnetic moment	0.0	Bohr magnetons per cell
DFT formation energy	0.699	eV/atom

Geometry as Quantum ESPRESSO input:
```
&SYSTEM
  ibrav = 0, nat = 4, ntyp = 3
/
ATOMIC_SPECIES
Pm 145.00 Pm.upf
Pr 140.91 Pr.upf
Be 9.01 Be.upf
CELL_PARAMETERS angstrom
1.774 1.024 11.822
-1.774 1.024 11.822
0.000 -2.049 11.822
ATOMIC_POSITIONS crystal
Pm 0.000 0.000 0.000
Pr 0.416 0.416 0.416
Pr 0.584 0.584 0.584
Be 0.500 0.500 0.500
```

Material: PmPrBe
Method: DFT, PBE
State: relaxed Values from VASP.

Calculated values
space-group type	I4mm, No. 107
magnetic moment	0.0	Bohr magnetons per cell
DFT formation energy	0.151	eV/atom

Geometry as Quantum ESPRESSO input:
```
&SYSTEM
  ibrav = 0, nat = 3, ntyp = 3
/
ATOMIC_SPECIES
Pm 145.00 Pm.upf
Pr 140.91 Pr.upf
Be 9.01 Be.upf
CELL_PARAMETERS angstrom
-1.806 1.806 6.114
1.806 -1.806 6.114
1.806 1.806 -6.114
ATOMIC_POSITIONS crystal
Pm 0.000 0.000 0.000
Pr 0.271 0.271 0.000
Be 0.631 0.631 0.000
```